SrLiSc2 | the Alexandria database | PBE-GGA | relaxed; calculated density = 2.6 g/cm3; space group = No. 160; energy above the most stable polymorph in this dataset = 82 meV per atom; total magnetization = 0.3 μB per formula unit
1.0
11.2826 0.0003 0.0002
10.7375 3.4645 0.0002
10.7375 1.6895 3.0246
Sr Sc Li
1 2 1
direct
0.4999 0.4999 0.4999
0.9987 0.9987 0.9987
0.2588 0.2588 0.2588
0.7427 0.7427 0.7427

***

SrLi2Sc | the Alexandria database | PBE-GGA | relaxed; calculated density = 2.1 g/cm3; space group = No. 38; energy above the most stable polymorph in this dataset = 65 meV per atom; total magnetization = 0.4 μB per formula unit
1.0
-2.9149 3.5980 -1.8531
-2.7909 -2.2579 0.0061
-2.9042 0.7514 6.0273
Sr Li Sc
1 2 1
direct
0.5000 0.7986 0.7771
0.0000 0.1774 0.0197
0.5000 0.0525 0.2708
0.0000 0.4715 0.4324

***

SrLiSc2Te4 | the Alexandria database | PBE-GGA | relaxed; formation energy without anion corrections = -1.258 eV per atom; calculated density = 5.1 g/cm3; space group = No. 63; total magnetization = 0.0 μB per formula unit
1.0
-1.8754 -0.1503 3.8944
1.4626 -6.9955 -1.9673
13.3782 0.9746 6.4802
Li Te Sc Sr
2 8 4 2
direct
0.8483 0.6966 0.7500
0.1517 0.3034 0.2500
0.2681 0.5362 0.3911
0.5474 0.0948 0.2500
0.0000 0.0000 0.5000
0.7319 0.4638 0.8911
0.0000 0.0000 0.0000
0.2681 0.5362 0.1089
0.7319 0.4638 0.6089
0.4526 0.9052 0.7500
0.3753 0.7506 0.9392
0.6247 0.2494 0.0608
0.6247 0.2494 0.4392
0.3753 0.7506 0.5608
0.1275 0.2550 0.7500
0.8725 0.7450 0.2500

***

SrLiScTe3 | the Alexandria database | PBE-GGA | relaxed; formation energy without anion corrections = -1.328 eV per atom; calculated density = 4.8 g/cm3; space group = No. 11; total magnetization = 0.0 μB per formula unit
1.0
-2.5300 -3.4514 0.7694
5.2017 -4.9654 -5.1700
3.7705 -0.7774 8.9114
Te Li Sc Sr
6 2 2 2
direct
0.2500 0.7601 0.4742
0.7500 0.2399 0.5258
0.2500 0.5545 0.8442
0.7500 0.8920 0.1260
0.2500 0.1080 0.8740
0.7500 0.4455 0.1558
0.7500 0.9140 0.4092
0.2500 0.0860 0.5908
0.7500 0.3257 0.8396
0.2500 0.6743 0.1604
0.2500 0.1991 0.2484
0.7500 0.8009 0.7516

***

LiScTa | the Alexandria database | PBE-GGA | relaxed; calculated density = 6.3 g/cm3; space group = No. 107; energy above the most stable polymorph in this dataset = 40 meV per atom; total magnetization = 0.0 μB per formula unit
1.0
7.3221 1.5659 -0.3964
5.4362 5.1495 0.3959
-6.1947 -3.7082 2.0250
Ta Sc Li
1 1 1
direct
0.6733 0.6735 0.9998
0.3193 0.3191 0.0002
0.0074 0.0074 0.0000

***

LiScTa2 | the Alexandria database | PBE-GGA | relaxed; calculated density = 9.2 g/cm3; space group = No. 65; energy above the most stable polymorph in this dataset = 198 meV per atom; total magnetization = 0.0 μB per formula unit
1.0
-0.6962 -4.2602 3.5497
-1.0034 -0.7296 -5.4493
2.6366 -0.7515 -0.3849
Ta Sc Li
2 1 1
direct
0.5000 0.5000 0.0000
0.0000 0.0000 0.0000
0.0000 0.5000 0.5000
0.5000 0.0000 0.5000

***

LiScTa2 | the Alexandria database | PBE-GGA | relaxed; calculated density = 8.9 g/cm3; space group = No. 166; energy above the most stable polymorph in this dataset = 124 meV per atom; total magnetization = 0.0 μB per formula unit
1.0
-7.0554 1.1914 7.7634
-8.9312 0.6583 5.5918
-7.7095 -1.5602 7.0426
Li Sc Ta
1 1 2
direct
0.2500 0.2500 0.2500
0.7500 0.7500 0.7500
0.4999 0.4999 0.4999
0.0001 0.0001 0.0001

***

LiScTa | the Alexandria database | PBE-GGA | relaxed; calculated density = 6.5 g/cm3; space group = No. 216; energy above the most stable polymorph in this dataset = 873 meV per atom; total magnetization = 0.0 μB per formula unit
1.0
-0.7193 4.3078 -0.4420
-3.9217 1.6868 1.0224
-0.4409 2.5284 3.5613
Ta Sc Li
1 1 1
direct
0.5000 0.5000 0.5000
0.0000 0.0000 0.0000
0.7500 0.7500 0.7500

***

LiScTa2 | the Alexandria database | PBE-GGA | relaxed; calculated density = 9.4 g/cm3; space group = No. 123; energy above the most stable polymorph in this dataset = 410 meV per atom; total magnetization = 0.0 μB per formula unit
1.0
4.9582 0.0000 0.0000
0.0000 4.9582 0.0000
0.0000 0.0000 2.9718
Ta Li Sc
2 1 1
direct
0.5000 0.5000 0.0000
0.0000 0.0000 0.0000
0.5000 0.0000 0.5000
0.0000 0.5000 0.5000

***

LiScTa2 | the Alexandria database | PBE-GGA | relaxed; calculated density = 9.3 g/cm3; space group = No. 139; energy above the most stable polymorph in this dataset = 147 meV per atom; total magnetization = 0.0 μB per formula unit
1.0
5.3566 0.0000 0.0000
2.3249 4.8258 0.0000
-3.8408 -2.4129 2.8495
Li Ta Sc
1 2 1
direct
0.2500 0.7500 0.5000
0.0000 0.0000 0.0000
0.5000 0.5000 0.0000
0.7500 0.2500 0.5000

***

LiScTa2 | the Alexandria database | PBE-GGA | relaxed; calculated density = 9.6 g/cm3; space group = No. 225; energy above the most stable polymorph in this dataset = 451 meV per atom; total magnetization = 0.0 μB per formula unit
1.0
-3.1639 -2.9318 1.7675
-3.6007 -1.3945 -2.6115
-0.2078 -4.4004 -1.5241
Li Sc Ta
1 1 2
direct
0.0000 0.0000 0.0000
0.5000 0.5000 0.5000
0.2500 0.2500 0.2500
0.7500 0.7500 0.7500

***

LiScTa | the Alexandria database | PBE-GGA | relaxed; calculated density = 6.4 g/cm3; space group = No. 156; energy above the most stable polymorph in this dataset = 63 meV per atom; total magnetization = 0.0 μB per formula unit
1.0
3.0004 0.0000 0.0000
-1.5002 2.5984 0.0000
0.0000 0.0000 7.7946
Sc Ta Li
1 1 1
direct
0.3333 0.6667 0.3510
0.6667 0.3333 0.6613
0.0000 0.0000 0.9877

***

LiScTa2 | the Alexandria database | PBE-GGA | relaxed; calculated density = 9.5 g/cm3; space group = No. 216; energy above the most stable polymorph in this dataset = 131 meV per atom; total magnetization = 0.0 μB per formula unit
1.0
-2.5692 3.4208 -1.8876
-3.8263 1.5385 2.2042
-0.0260 4.2512 1.9476
Li Sc Ta
1 1 2
direct
0.5000 0.5000 0.5000
0.7500 0.7500 0.7500
0.2500 0.2500 0.2500
0.0000 0.0000 0.0000

***

Li2ScTa2 | the Alexandria database | PBE-GGA | relaxed; calculated density = 7.2 g/cm3; space group = No. 139; energy above the most stable polymorph in this dataset = 135 meV per atom; total magnetization = 0.9 μB per formula unit
1.0
3.7080 0.0000 0.0000
0.0000 3.7080 0.0000
1.8540 1.8540 7.0207
Sc Ta Li
1 2 2
direct
0.0000 0.0000 0.0000
0.5905 0.5905 0.8191
0.4095 0.4095 0.1809
0.7500 0.2500 0.5000
0.2500 0.7500 0.5000